# 1
# PBE CdPtC3, relaxed
data_CdPtC3
_chemical_formula_sum 'Cd1 Pt1 C3'
_cell_length_a 4.1955
_cell_length_b 4.1955
_cell_length_c 4.1955
_cell_angle_alpha 90.00
_cell_angle_beta 90.00
_cell_angle_gamma 90.00
_space_group_name_H-M_alt 'P m -3 m'
_space_group_IT_number 221
_space_group_name_Hall '-P 4 2 3'
loop_
_atom_site_label
_atom_site_fract_x
_atom_site_fract_y
_atom_site_fract_z
Cd1 0.0000 0.0000 0.0000
Pt1 0.5000 0.5000 0.5000
C1 0.0000 0.0000 0.5000
# - total magnetic moment (μB per cell) = 0.00
# - uncorrected energy (eV per atom) = -3.426
# - D(E_F) (states/eV/f.u.) = 2.30
# - energy above the most stable polymorph in this dataset (meV per atom) = 1106

# 2
# PBE CdPt2C, relaxed
data_CdPt2C
_chemical_formula_sum 'Cd4 Pt8 C4'
_cell_length_a 6.2465
_cell_length_b 6.2465
_cell_length_c 6.2465
_cell_angle_alpha 90.00
_cell_angle_beta 90.00
_cell_angle_gamma 90.00
_space_group_name_H-M_alt 'F m -3 m'
_space_group_IT_number 225
_space_group_name_Hall '-F 4 2 3'
loop_
_atom_site_label
_atom_site_fract_x
_atom_site_fract_y
_atom_site_fract_z
Cd1 0.0000 0.0000 0.0000
Pt1 0.2500 0.2500 0.2500
C1 0.0000 0.0000 0.5000
# - total magnetic moment (μB per cell) = 0.00
# - uncorrected energy (eV per atom) = -4.305
# - D(E_F) (states/eV/f.u.) = 1.90
# - energy above the most stable polymorph in this dataset (meV per atom) = 970

# 3
# PBE CdPtC3, relaxed
data_CdPtC3
_chemical_formula_sum 'Cd1 Pt1 C3'
_cell_length_a 4.0960
_cell_length_b 4.0960
_cell_length_c 4.0960
_cell_angle_alpha 90.00
_cell_angle_beta 90.00
_cell_angle_gamma 90.00
_space_group_name_H-M_alt 'P m -3 m'
_space_group_IT_number 221
_space_group_name_Hall '-P 4 2 3'
loop_
_atom_site_label
_atom_site_fract_x
_atom_site_fract_y
_atom_site_fract_z
Cd1 0.0000 0.0000 0.0000
Pt1 0.5000 0.5000 0.5000
C1 0.0000 0.5000 0.5000
# - total magnetic moment (μB per cell) = 0.00
# - uncorrected energy (eV per atom) = -4.532
# - D(E_F) (states/eV/f.u.) = 1.08
# - energy above the most stable polymorph in this dataset (meV per atom) = 0

# 4
# PBE CdPt3C, relaxed
data_CdPt3C
_chemical_formula_sum 'Cd1 Pt3 C1'
_cell_length_a 4.9790
_cell_length_b 4.9790
_cell_length_c 4.9790
_cell_angle_alpha 90.00
_cell_angle_beta 90.00
_cell_angle_gamma 90.00
_space_group_name_H-M_alt 'P m -3 m'
_space_group_IT_number 221
_space_group_name_Hall '-P 4 2 3'
loop_
_atom_site_label
_atom_site_fract_x
_atom_site_fract_y
_atom_site_fract_z
Cd1 0.0000 0.0000 0.0000
Pt1 0.0000 0.0000 0.5000
C1 0.5000 0.5000 0.5000
# - total magnetic moment (μB per cell) = 1.22
# - uncorrected energy (eV per atom) = -2.900
# - D(E_F) (states/eV/f.u.) = 5.29
# - energy above the most stable polymorph in this dataset (meV per atom) = 2558

# 5
# PBE Cd2PtC, relaxed
data_Cd2PtC
_chemical_formula_sum 'Cd8 Pt4 C4'
_cell_length_a 9.0148
_cell_length_b 9.0148
_cell_length_c 3.8819
_cell_angle_alpha 90.00
_cell_angle_beta 90.00
_cell_angle_gamma 90.00
_space_group_name_H-M_alt 'I -4 2 d'
_space_group_IT_number 122
_space_group_name_Hall 'I -4 2bw'
loop_
_atom_site_label
_atom_site_fract_x
_atom_site_fract_y
_atom_site_fract_z
Cd1 0.1188 0.7500 0.1250
Pt1 0.0000 0.0000 0.5000
C1 0.0000 0.0000 0.0000
# - total magnetic moment (μB per cell) = 0.00
# - uncorrected energy (eV per atom) = -3.749
# - D(E_F) (states/eV/f.u.) = 2.28

# 6
# PBE Sr2CdPtC, relaxed
data_Sr2CdPtC
_chemical_formula_sum 'Sr2 Cd1 Pt1 C1'
_cell_length_a 5.6311
_cell_length_b 5.6311
_cell_length_c 3.9072
_cell_angle_alpha 90.00
_cell_angle_beta 90.00
_cell_angle_gamma 90.00
_space_group_name_H-M_alt 'P 4/m m m'
_space_group_IT_number 123
_space_group_name_Hall '-P 4 2'
loop_
_atom_site_label
_atom_site_fract_x
_atom_site_fract_y
_atom_site_fract_z
Sr1 0.0000 0.5000 0.0000
Cd1 0.0000 0.0000 0.5000
Pt1 0.5000 0.5000 0.5000
C1 0.5000 0.5000 0.0000
# - total magnetic moment (μB per cell) = 0.00
# - uncorrected energy (eV per atom) = -4.200
# - D(E_F) (states/eV/f.u.) = 2.37

# 7
# PBE YCd2PtC, relaxed
data_YCd2PtC
_chemical_formula_sum 'Y1 Cd2 Pt1 C1'
_cell_length_a 5.4355
_cell_length_b 5.4355
_cell_length_c 3.8308
_cell_angle_alpha 90.00
_cell_angle_beta 90.00
_cell_angle_gamma 90.00
_space_group_name_H-M_alt 'P 4/m m m'
_space_group_IT_number 123
_space_group_name_Hall '-P 4 2'
loop_
_atom_site_label
_atom_site_fract_x
_atom_site_fract_y
_atom_site_fract_z
Y1 0.0000 0.0000 0.0000
Cd1 0.0000 0.5000 0.5000
Pt1 0.5000 0.5000 0.5000
C1 0.5000 0.5000 0.0000
# - total magnetic moment (μB per cell) = 0.00
# - uncorrected energy (eV per atom) = -4.269
# - D(E_F) (states/eV/f.u.) = 3.76

# 8
# PBE Zn2CdPtC, relaxed
data_Zn2CdPtC
_chemical_formula_sum 'Zn2 Cd1 Pt1 C1'
_cell_length_a 4.0200
_cell_length_b 4.0200
_cell_length_c 4.7773
_cell_angle_alpha 90.00
_cell_angle_beta 90.00
_cell_angle_gamma 90.00
_space_group_name_H-M_alt 'P 4/m m m'
_space_group_IT_number 123
_space_group_name_Hall '-P 4 2'
loop_
_atom_site_label
_atom_site_fract_x
_atom_site_fract_y
_atom_site_fract_z
Zn1 0.0000 0.5000 0.0000
Cd1 0.0000 0.0000 0.5000
Pt1 0.5000 0.5000 0.5000
C1 0.0000 0.0000 0.0000
# - total magnetic moment (μB per cell) = 0.00
# - uncorrected energy (eV per atom) = -3.281
# - D(E_F) (states/eV/f.u.) = 0.72

# 9
# PBE ZrCdPt2C, relaxed
data_ZrCdPt2C
_chemical_formula_sum 'Zr1 Cd1 Pt2 C1'
_cell_length_a 4.9907
_cell_length_b 4.9907
_cell_length_c 3.9710
_cell_angle_alpha 90.00
_cell_angle_beta 90.00
_cell_angle_gamma 90.00
_space_group_name_H-M_alt 'P 4/m m m'
_space_group_IT_number 123
_space_group_name_Hall '-P 4 2'
loop_
_atom_site_label
_atom_site_fract_x
_atom_site_fract_y
_atom_site_fract_z
Zr1 0.0000 0.0000 0.0000
Cd1 0.5000 0.5000 0.5000
Pt1 0.0000 0.5000 0.5000
C1 0.5000 0.5000 0.0000
# - total magnetic moment (μB per cell) = 0.00
# - uncorrected energy (eV per atom) = -4.800
# - D(E_F) (states/eV/f.u.) = 4.49

# 10
# PBE Pu3CdC, relaxed
data_Pu3CdC
_chemical_formula_sum 'Pu3 Cd1 C1'
_cell_length_a 4.8842
_cell_length_b 4.8842
_cell_length_c 4.8842
_cell_angle_alpha 90.00
_cell_angle_beta 90.00
_cell_angle_gamma 90.00
_space_group_name_H-M_alt 'P m -3 m'
_space_group_IT_number 221
_space_group_name_Hall '-P 4 2 3'
loop_
_atom_site_label
_atom_site_fract_x
_atom_site_fract_y
_atom_site_fract_z
Pu1 0.0000 0.0000 0.5000
Cd1 0.5000 0.5000 0.5000
C1 0.0000 0.0000 0.0000
# - total magnetic moment (μB per cell) = 16.35
# - uncorrected energy (eV per atom) = -10.565
# - D(E_F) (states/eV/f.u.) = 16.81

# 11
# PBE PuCdC, relaxed
data_PuCdC
_chemical_formula_sum 'Pu4 Cd4 C4'
_cell_length_a 3.2238
_cell_length_b 17.6912
_cell_length_c 3.6732
_cell_angle_alpha 90.00
_cell_angle_beta 90.00
_cell_angle_gamma 90.00
_space_group_name_H-M_alt 'C m c m'
_space_group_IT_number 63
_space_group_name_Hall '-C 2c 2'
loop_
_atom_site_label
_atom_site_fract_x
_atom_site_fract_y
_atom_site_fract_z
Pu1 0.0000 0.0410 0.2500
Cd1 0.0000 0.3024 0.7500
C1 0.0000 0.4317 0.2500
# - total magnetic moment (μB per cell) = 2.33
# - uncorrected energy (eV per atom) = -7.548
# - D(E_F) (states/eV/f.u.) = 3.06

# 12
# PBE Rb2CdC2, relaxed
data_Rb2CdC2
_chemical_formula_sum 'Rb4 Cd2 C4'
_cell_length_a 9.8017
_cell_length_b 9.8017
_cell_length_c 4.4941
_cell_angle_alpha 90.00
_cell_angle_beta 90.00
_cell_angle_gamma 90.00
_space_group_name_H-M_alt 'P 4/m b m'
_space_group_IT_number 127
_space_group_name_Hall '-P 4 2ab'
loop_
_atom_site_label
_atom_site_fract_x
_atom_site_fract_y
_atom_site_fract_z
Rb1 0.1428 0.3572 0.0000
Cd1 0.0000 0.0000 0.0000
C1 0.0459 0.5459 0.5000
# - total magnetic moment (μB per cell) = 0.00
# - uncorrected energy (eV per atom) = -3.703
# - D(E_F) (states/eV/f.u.) = 0.00
# - energy above the most stable polymorph in this dataset (meV per atom) = 0

# 13
# PBE RbCdC3, relaxed
data_RbCdC3
_chemical_formula_sum 'Rb1 Cd1 C3'
_cell_length_a 5.6382
_cell_length_b 5.6382
_cell_length_c 5.6382
_cell_angle_alpha 90.00
_cell_angle_beta 90.00
_cell_angle_gamma 90.00
_space_group_name_H-M_alt 'P m -3 m'
_space_group_IT_number 221
_space_group_name_Hall '-P 4 2 3'
loop_
_atom_site_label
_atom_site_fract_x
_atom_site_fract_y
_atom_site_fract_z
Rb1 0.0000 0.0000 0.0000
Cd1 0.5000 0.5000 0.5000
C1 0.0000 0.0000 0.5000
# - total magnetic moment (μB per cell) = 7.00
# - uncorrected energy (eV per atom) = -1.892
# - D(E_F) (states/eV/f.u.) = 8.10
# - energy above the most stable polymorph in this dataset (meV per atom) = 1020

# 14
# PBE Rb2CdC2, relaxed
data_Rb2CdC2
_chemical_formula_sum 'Rb4 Cd2 C4'
_cell_length_a 2.9962
_cell_length_b 2.9962
_cell_length_c 23.5244
_cell_angle_alpha 90.00
_cell_angle_beta 90.00
_cell_angle_gamma 90.00
_space_group_name_H-M_alt 'I 4/m m m'
_space_group_IT_number 139
_space_group_name_Hall '-I 4 2'
loop_
_atom_site_label
_atom_site_fract_x
_atom_site_fract_y
_atom_site_fract_z
Rb1 0.0000 0.0000 0.1410
Cd1 0.0000 0.0000 0.5000
C1 0.0000 0.5000 0.2500
# - total magnetic moment (μB per cell) = 0.00
# - uncorrected energy (eV per atom) = -2.419
# - D(E_F) (states/eV/f.u.) = 3.12
# - energy above the most stable polymorph in this dataset (meV per atom) = 1285